TaFeSb2 (PBE, optimized geometry); uncorrected formation energy = 0.299 eV per atom; DFT total energy = -6.84 eV/atom; volume = 76 Å³/cell; SG = P4/mmm; Fermi-level density of states = 0.997 states/eV/atom; total moment = 2.52 Bohr magnetons per cell; E above lowest polymorph = 0.268 eV per atom
1.0
3.464 0.000 0.000
0.000 3.464 0.000
0.000 0.000 6.306
Ta Sb Fe
1 2 1
Direct
0.500 0.500 0.250 Ta
0.000 0.000 0.506 Sb
0.000 0.000 0.994 Sb
0.500 0.500 0.750 Fe

La4Te3P (PBE, optimized geometry); uncorrected formation energy = -1.627 eV per atom; DFT total energy = -5.95 eV/atom; volume = 260 Å³/cell; SG = Cmmm; Fermi-level density of states = 0.558 states/eV/atom; total moment = 0.00 Bohr magnetons per cell
1.0
-0.983 4.040 1.593
-5.762 -3.110 4.332
6.632 -0.043 4.202
La P Te
4 1 3
Direct
0.000 0.779 0.779 La
0.500 0.233 0.767 La
0.000 0.221 0.221 La
0.500 0.767 0.233 La
0.500 0.000 0.000 P
0.000 0.500 0.000 Te
0.000 0.000 0.500 Te
0.500 0.500 0.500 Te

The highest uncorrected formation energy belongs to which entry?
TaFeSb2

Which of these has the highest DFT total energy?
La4Te3P